# LaCoOs2

Crystalline LaCoOs2 at its relaxed geometry (PBE, the Alexandria database).

Lattice parameters (Å, degrees): 2.9612 4.6360 4.9471 90.00 90.00 90.00
Closest atoms and distances in Å follow each position.
Atoms (fractional coordinates):
La 0.0000 0.0000 0.0000  4 Co 2.75, 4 Os 2.88, 2 La 2.96
Co 0.5000 0.5000 0.0000  4 La 2.75, 4 Os 2.88, 2 Co 2.96
Os 0.0000 0.5000 0.5000  6 Os 2.75-2.96, 4 Co 2.88
Os 0.5000 0.0000 0.5000  6 Os 2.75-2.96, 4 La 2.88

Properties
ρ in g/cm3: 14.14
M_tot in μB/atom: 0.340
SG: Pmmm (47)
Excess energy over the best structure of this formula in the dataset in meV/atom: 558.9

# LaCoOs2

Crystalline LaCoOs2 at its relaxed geometry (PBE, the Alexandria database).

Lattice parameters (Å, degrees): 2.9454 4.9435 9.6916 90.00 90.00 90.00
Closest atoms and distances in Å follow each position.
Atoms (fractional coordinates):
La 0.0000 0.0000 0.0000  6 Os 2.88-3.12, 2 La 2.95, 2 Co 3.06
La 0.5000 0.5000 0.5000  6 Os 2.88-3.12, 2 La 2.95, 2 Co 3.06
Co 0.0000 0.5000 0.2234  2 Os 2.56
Co 0.5000 0.0000 0.7234  2 Os 2.56
Os 0.0000 0.0000 0.5072  2 Co 2.56, 2 Os 2.62
Os 0.0000 0.5000 0.7834  2 Os 2.62, 4 Co 2.94
Os 0.5000 0.0000 0.2834  2 Os 2.62, 4 Co 2.94
Os 0.5000 0.5000 0.0072  2 Co 2.56, 2 Os 2.62

Properties
ρ in g/cm3: 13.61
M_tot in μB/atom: 0.444
SG: Imm2 (44)
Excess energy over the best structure of this formula in the dataset in meV/atom: 590.3

no.,calculated formation energy (eV per formula unit)
1,2.4
2,2.5